No. 1
# TlSiSb2Te

Crystalline TlSiSb2Te at its relaxed geometry (PBE, Alexandria via LeMat-Bulk).

abc: 5.315 5.315 5.417
angles: 90.00 90.00 90.00
Space group P4/mmm (No. 123)
Asymmetric unit:
Tl1 0.000 0.000 0.000
Si1 0.500 0.500 0.500
Sb1 0.000 0.500 0.500
Te1 0.500 0.500 0.000

Properties
The calculation puts the total DFT energy (no corrections) at -3.46 eV/atom. As for the density: 6.55 Mg/m³. For the relative energy among the computed polymorphs, the calculation gives 0.00 eV/f.u. The formation energy without anion corrections comes out at 0.38 eV per atom. The total magnetization is 0.000 μB/f.u.

No. 2
# TlSiSb2Te

Crystalline TlSiSb2Te at its relaxed geometry (PBE, Alexandria via LeMat-Bulk).

abc: 5.637 5.637 5.746
angles: 90.00 90.00 90.00
Space group P4/mmm (No. 123)
Asymmetric unit:
Tl1 0.000 0.000 0.000
Si1 0.500 0.500 0.500
Sb1 0.000 0.500 0.000
Te1 0.000 0.000 0.500

Properties
The calculation puts the total DFT energy (no corrections) at -2.61 eV/atom. As for the density: 5.49 Mg/m³. For the relative energy among the computed polymorphs, the calculation gives 4.21 eV/f.u. The formation energy without anion corrections comes out at 1.22 eV per atom. The total magnetization is 0.000 μB/f.u.

No. 3
# TlSiSbTe2

Crystalline TlSiSbTe2 at its relaxed geometry (PBE, Alexandria via LeMat-Bulk).

abc: 5.726 5.726 5.642
angles: 90.00 90.00 90.00
Space group P4/mmm (No. 123)
Asymmetric unit:
Tl1 0.000 0.000 0.000
Si1 0.500 0.500 0.500
Sb1 0.000 0.000 0.500
Te1 0.000 0.500 0.000

Properties
The calculation puts the total DFT energy (no corrections) at -2.51 eV/atom. As for the density: 5.47 Mg/m³. For the relative energy among the computed polymorphs, the calculation gives 4.23 eV/f.u. The formation energy without anion corrections comes out at 1.13 eV per atom. The total magnetization is 0.000 μB/f.u.